[1]
## CaSe2Br (PBE)

Data for CaSe2Br after structural relaxation.

The energy relative to the lowest polymorph listed for this composition comes out at 0.655 eV/atom. The total magnetization comes out at 0.000 μB per atom.

The space group is I-42d (No. 122) and the conventional cell measures 5.663, 5.663 and 16.689 Å, with angles of 90.00, 90.00 and 90.00 degrees. The asymmetric unit holds Ca at (0.000, 0.000, 0.000), Se at (0.235, 0.250, 0.625) and Br at (0.000, 0.000, 0.500).

---

[2]
## Sc3TlH (PBE)

Data for Sc3TlH after structural relaxation.

The energy relative to the lowest polymorph listed for this composition comes out at 1.409 eV/atom. The total magnetization comes out at 0.464 μB per atom.

The space group is Pm-3m (No. 221) and the conventional cell measures 5.447, 5.447 and 5.447 Å, with angles of 90.00, 90.00 and 90.00 degrees. The asymmetric unit holds Sc at (0.000, 0.000, 0.500), Tl at (0.000, 0.000, 0.000) and H at (0.500, 0.500, 0.500).

---

[3]
## TlFeHg (PBE)

Data for TlFeHg after structural relaxation.

For the formation energy, the calculation gives 149 kJ/mol of formula units. The energy relative to the lowest polymorph listed for this composition comes out at 0.000 eV/atom. The total magnetization comes out at 0.940 μB per atom.

The space group is Fmm2 (No. 42) and the conventional cell measures 4.430, 4.437 and 12.804 Å, with angles of 90.00, 90.00 and 90.00 degrees. The asymmetric unit holds Tl at (0.000, 0.000, 0.000), Fe at (0.000, 0.000, 0.655) and Hg at (0.000, 0.000, 0.292).

---

[4]
## NdTmTe (PBE)

Data for NdTmTe after structural relaxation.

The energy relative to the lowest polymorph listed for this composition comes out at 0.000 eV/atom. The total magnetization comes out at 0.000 μB per atom.

The space group is I4mm (No. 107) and the conventional cell measures 3.910, 3.910 and 11.718 Å, with angles of 90.00, 90.00 and 90.00 degrees. The asymmetric unit holds Nd at (0.000, 0.000, 0.000), Tm at (0.000, 0.000, 0.311) and Te at (0.000, 0.000, 0.673).

---

Calculated electronic total energy, -12.35 -19.53 -9.59 -14.69 eV per formula unit (same order as the records).